1.
Density functional theory data (PBE) for a relaxed structure of ZrBiMo.

Cell lengths 7.859, 7.859, 3.586 Å; angles 90.00, 90.00, 120.00 degrees
Fractional coordinates of all 9 atoms:
Bi (0.274, 0.000, 0.000)
Bi (0.000, 0.274, 0.000)
Bi (0.726, 0.726, 0.000)
Mo (0.667, 0.333, 0.000)
Mo (0.333, 0.667, 0.000)
Mo (0.000, 0.000, 0.500)
Zr (0.597, 0.000, 0.500)
Zr (0.403, 0.403, 0.500)
Zr (0.000, 0.597, 0.500)

---

2.
Density functional theory data (PBE) for a relaxed structure of Nb2BiN.

Cell lengths 5.943, 5.943, 13.882 Å; angles 102.43, 102.43, 60.00 degrees
Fractional coordinates of all 24 atoms:
Bi (0.584, 0.750, 0.250)
Bi (0.917, 0.083, 0.250)
Bi (0.250, 0.416, 0.250)
Bi (0.750, 0.584, 0.750)
Bi (0.083, 0.917, 0.750)
Bi (0.416, 0.250, 0.750)
N (0.500, 0.000, 0.000)
N (0.835, 0.334, 0.000)
N (0.165, 0.666, 0.000)
N (0.334, 0.835, 0.500)
N (0.000, 0.500, 0.500)
N (0.666, 0.165, 0.500)
Nb (0.855, 0.692, 0.072)
Nb (0.192, 0.022, 0.072)
Nb (0.526, 0.359, 0.073)
Nb (0.641, 0.474, 0.427)
Nb (0.978, 0.808, 0.428)
Nb (0.308, 0.145, 0.428)
Nb (0.692, 0.855, 0.572)
Nb (0.022, 0.192, 0.572)
Nb (0.359, 0.526, 0.573)
Nb (0.474, 0.641, 0.927)
Nb (0.808, 0.978, 0.928)
Nb (0.145, 0.308, 0.928)

---

3.
Density functional theory data (PBE) for a relaxed structure of Nb4BiN3.

Cell lengths 3.273, 3.273, 23.906 Å; angles 90.00, 90.00, 120.00 degrees
Fractional coordinates of all 16 atoms:
Bi (0.333, 0.667, 0.250)
Bi (0.667, 0.333, 0.750)
N (0.000, 0.000, 0.000)
N (0.667, 0.333, 0.106)
N (0.667, 0.333, 0.394)
N (0.000, 0.000, 0.500)
N (0.333, 0.667, 0.606)
N (0.333, 0.667, 0.894)
Nb (0.333, 0.667, 0.055)
Nb (0.000, 0.000, 0.147)
Nb (0.000, 0.000, 0.353)
Nb (0.333, 0.667, 0.445)
Nb (0.667, 0.333, 0.555)
Nb (0.000, 0.000, 0.647)
Nb (0.000, 0.000, 0.853)
Nb (0.667, 0.333, 0.945)

---

4.
Density functional theory data (PBE) for a relaxed structure of Nb4NiBiN2.

Cell lengths 3.254, 3.254, 13.118 Å; angles 90.00, 90.00, 120.00 degrees
Fractional coordinates of all 8 atoms:
Bi (0.667, 0.333, 0.000)
N (0.333, 0.667, 0.269)
N (0.333, 0.667, 0.731)
Nb (0.000, 0.000, 0.184)
Nb (0.667, 0.333, 0.356)
Nb (0.667, 0.333, 0.644)
Nb (0.000, 0.000, 0.816)
Ni (0.000, 0.000, 0.500)

---

5.
Density functional theory data (PBE) for a relaxed structure of NbBiNO.

## Properties
E above lowest polymorph in eV per atom: 0.044

Cell lengths 3.463, 6.053, 7.452 Å; angles 90.00, 90.00, 90.00 degrees
Fractional coordinates of all 8 atoms:
Bi (0.000, 0.534, 0.447)
Bi (0.000, 0.034, 0.553)
N (0.000, 0.906, 0.243)
N (0.000, 0.406, 0.757)
Nb (0.500, 0.006, 0.144)
Nb (0.500, 0.506, 0.856)
O (0.500, 0.308, 0.060)
O (0.500, 0.808, 0.940)

---

6.
Density functional theory data (PBE) for a relaxed structure of NbBiNO.

## Properties
E above lowest polymorph in eV per atom: 0.093

Cell lengths 3.331, 6.710, 6.686 Å; angles 90.00, 90.00, 90.00 degrees
Fractional coordinates of all 8 atoms:
Bi (0.500, 0.024, 0.215)
Bi (0.500, 0.524, 0.785)
N (0.000, 0.794, 0.375)
N (0.000, 0.294, 0.625)
Nb (0.000, 0.500, 0.398)
Nb (0.000, 0.000, 0.602)
O (0.500, 0.435, 0.257)
O (0.500, 0.935, 0.743)

---

7.
Density functional theory data (PBE) for a relaxed structure of NbBiNO.

## Properties
E above lowest polymorph in eV per atom: 0.000

Cell lengths 6.142, 8.467, 5.870 Å; angles 90.00, 90.00, 90.00 degrees
Fractional coordinates of all 16 atoms:
Bi (0.543, 0.446, 0.025)
Bi (0.043, 0.554, 0.025)
Bi (0.957, 0.446, 0.525)
Bi (0.457, 0.554, 0.525)
N (0.397, 0.074, 0.140)
N (0.897, 0.926, 0.140)
N (0.103, 0.074, 0.640)
N (0.603, 0.926, 0.640)
Nb (0.398, 0.078, 0.484)
Nb (0.898, 0.922, 0.484)
Nb (0.102, 0.078, 0.984)
Nb (0.602, 0.922, 0.984)
O (0.991, 0.273, 0.053)
O (0.491, 0.727, 0.053)
O (0.509, 0.273, 0.553)
O (0.009, 0.727, 0.553)

---

8.
Density functional theory data (PBE) for a relaxed structure of NbBiNO.

## Properties
E above lowest polymorph in eV per atom: 0.288

Cell lengths 4.081, 4.081, 8.293 Å; angles 90.00, 90.00, 90.00 degrees
Fractional coordinates of all 8 atoms:
Bi (0.250, 0.250, 0.147)
Bi (0.750, 0.750, 0.853)
N (0.750, 0.750, 0.438)
N (0.250, 0.250, 0.562)
Nb (0.750, 0.250, 0.500)
Nb (0.250, 0.750, 0.500)
O (0.750, 0.250, 0.000)
O (0.250, 0.750, 0.000)

---

9.
Density functional theory data (PBE) for a relaxed structure of NbBiNO.

## Properties
E above lowest polymorph in eV per atom: 0.268

Cell lengths 4.307, 4.307, 7.885 Å; angles 90.00, 90.00, 90.00 degrees
Fractional coordinates of all 8 atoms:
Bi (0.500, 0.000, 0.500)
Bi (0.000, 0.500, 0.500)
N (0.500, 0.500, 0.265)
N (0.000, 0.000, 0.735)
Nb (0.500, 0.500, 0.040)
Nb (0.000, 0.000, 0.960)
O (0.500, 0.000, 0.000)
O (0.000, 0.500, 0.000)

---

10.
Density functional theory data (PBE) for a relaxed structure of Nb4BiPN2.

Cell lengths 3.345, 3.345, 12.542 Å; angles 90.00, 90.00, 120.00 degrees
Fractional coordinates of all 8 atoms:
Bi (0.667, 0.333, 0.500)
N (0.333, 0.667, 0.234)
N (0.333, 0.667, 0.766)
Nb (0.667, 0.333, 0.135)
Nb (0.000, 0.000, 0.309)
Nb (0.000, 0.000, 0.691)
Nb (0.667, 0.333, 0.865)
P (0.000, 0.000, 0.000)

---

11.
Density functional theory data (PBE) for a relaxed structure of Nb4BiPN2.

Cell lengths 3.345, 3.345, 12.542 Å; angles 90.00, 90.00, 120.00 degrees
Fractional coordinates of all 8 atoms:
Bi (0.000, 0.000, 0.000)
N (0.333, 0.667, 0.266)
N (0.333, 0.667, 0.734)
Nb (0.667, 0.333, 0.191)
Nb (0.000, 0.000, 0.365)
Nb (0.000, 0.000, 0.635)
Nb (0.667, 0.333, 0.809)
P (0.667, 0.333, 0.500)

---

12.
Density functional theory data (PBE) for a relaxed structure of Nb4BiPbN2.

Cell lengths 3.365, 3.365, 13.616 Å; angles 90.00, 90.00, 120.00 degrees
Fractional coordinates of all 8 atoms:
Bi (0.667, 0.333, 0.000)
N (0.333, 0.667, 0.248)
N (0.333, 0.667, 0.752)
Nb (0.000, 0.000, 0.173)
Nb (0.667, 0.333, 0.326)
Nb (0.667, 0.333, 0.674)
Nb (0.000, 0.000, 0.827)
Pb (0.000, 0.000, 0.500)

---

13.
Density functional theory data (PBE) for a relaxed structure of Nb4BiSN2.

Cell lengths 3.372, 3.372, 12.398 Å; angles 90.00, 90.00, 120.00 degrees
Fractional coordinates of all 8 atoms:
Bi (0.000, 0.000, 0.000)
N (0.333, 0.667, 0.266)
N (0.333, 0.667, 0.734)
Nb (0.667, 0.333, 0.193)
Nb (0.000, 0.000, 0.362)
Nb (0.000, 0.000, 0.638)
Nb (0.667, 0.333, 0.807)
S (0.667, 0.333, 0.500)

---

14.
Density functional theory data (PBE) for a relaxed structure of Nb4BiSbN2.

Cell lengths 3.369, 3.369, 13.260 Å; angles 90.00, 90.00, 120.00 degrees
Fractional coordinates of all 8 atoms:
Bi (0.000, 0.000, 0.000)
N (0.333, 0.667, 0.254)
N (0.333, 0.667, 0.746)
Nb (0.667, 0.333, 0.176)
Nb (0.000, 0.000, 0.336)
Nb (0.000, 0.000, 0.664)
Nb (0.667, 0.333, 0.824)
Sb (0.667, 0.333, 0.500)

---

15.
Density functional theory data (PBE) for a relaxed structure of Sc4Nb2Bi3N3.

Cell lengths 5.884, 5.884, 14.224 Å; angles 101.87, 101.87, 60.25 degrees
Fractional coordinates of all 24 atoms:
Bi (0.258, 0.416, 0.250)
Bi (0.910, 0.090, 0.250)
Bi (0.584, 0.742, 0.250)
Bi (0.416, 0.258, 0.750)
Bi (0.090, 0.910, 0.750)
Bi (0.742, 0.584, 0.750)
N (0.500, 0.000, 0.000)
N (0.846, 0.327, 0.000)
N (0.673, 0.154, 0.500)
N (0.000, 0.500, 0.500)
N (0.327, 0.846, 0.500)
N (0.154, 0.673, 0.000)
Nb (0.525, 0.366, 0.075)
Nb (0.634, 0.475, 0.425)
Nb (0.366, 0.525, 0.575)
Nb (0.475, 0.634, 0.925)
Sc (0.857, 0.695, 0.081)
Sc (0.198, 0.023, 0.081)
Sc (0.977, 0.802, 0.419)
Sc (0.305, 0.143, 0.419)
Sc (0.695, 0.857, 0.581)
Sc (0.023, 0.198, 0.581)
Sc (0.802, 0.977, 0.919)
Sc (0.143, 0.305, 0.919)

---

16.
Density functional theory data (PBE) for a relaxed structure of Sc2Nb4Bi3N3.

Cell lengths 5.925, 5.925, 13.840 Å; angles 102.10, 102.10, 60.48 degrees
Fractional coordinates of all 24 atoms:
Bi (0.760, 0.580, 0.249)
Bi (0.078, 0.922, 0.250)
Bi (0.420, 0.240, 0.251)
Bi (0.580, 0.760, 0.749)
Bi (0.922, 0.078, 0.750)
Bi (0.240, 0.420, 0.751)
N (0.657, 0.188, 0.000)
N (0.000, 0.500, 0.000)
N (0.343, 0.812, 0.000)
N (0.188, 0.657, 0.500)
N (0.500, 0.000, 0.500)
N (0.812, 0.343, 0.500)
Nb (0.039, 0.179, 0.073)
Nb (0.691, 0.871, 0.073)
Nb (0.129, 0.309, 0.427)
Nb (0.821, 0.961, 0.427)
Nb (0.179, 0.039, 0.573)
Nb (0.871, 0.691, 0.573)
Nb (0.309, 0.129, 0.927)
Nb (0.961, 0.821, 0.927)
Sc (0.355, 0.526, 0.083)
Sc (0.474, 0.645, 0.417)
Sc (0.526, 0.355, 0.583)
Sc (0.645, 0.474, 0.917)

---

17.
Density functional theory data (PBE) for a relaxed structure of Nb4SiBiN2.

Cell lengths 3.310, 3.310, 12.885 Å; angles 90.00, 90.00, 120.00 degrees
Fractional coordinates of all 8 atoms:
Bi (0.667, 0.333, 0.000)
N (0.333, 0.667, 0.266)
N (0.333, 0.667, 0.734)
Nb (0.000, 0.000, 0.186)
Nb (0.667, 0.333, 0.358)
Nb (0.667, 0.333, 0.642)
Nb (0.000, 0.000, 0.814)
Si (0.000, 0.000, 0.500)

---

18.
Density functional theory data (PBE) for a relaxed structure of Nb4SnBiN2.

Cell lengths 3.334, 3.334, 13.579 Å; angles 90.00, 90.00, 120.00 degrees
Fractional coordinates of all 8 atoms:
Bi (0.667, 0.333, 0.500)
N (0.333, 0.667, 0.249)
N (0.333, 0.667, 0.751)
Nb (0.667, 0.333, 0.168)
Nb (0.000, 0.000, 0.326)
Nb (0.000, 0.000, 0.674)
Nb (0.667, 0.333, 0.832)
Sn (0.000, 0.000, 0.000)

---

19.
Density functional theory data (PBE) for a relaxed structure of Ta2Nb4Bi3N3.

Cell lengths 5.979, 5.979, 13.725 Å; angles 101.81, 101.81, 59.65 degrees
Fractional coordinates of all 24 atoms:
Bi (0.415, 0.256, 0.249)
Bi (0.088, 0.912, 0.250)
Bi (0.744, 0.585, 0.251)
Bi (0.256, 0.415, 0.749)
Bi (0.912, 0.088, 0.750)
Bi (0.585, 0.744, 0.751)
N (0.000, 0.500, 0.000)
N (0.346, 0.808, 0.001)
N (0.192, 0.654, 0.499)
N (0.500, 0.000, 0.500)
N (0.808, 0.346, 0.501)
N (0.654, 0.192, 0.999)
Nb (0.047, 0.169, 0.075)
Nb (0.688, 0.882, 0.075)
Nb (0.118, 0.312, 0.425)
Nb (0.831, 0.953, 0.425)
Nb (0.169, 0.047, 0.575)
Nb (0.882, 0.688, 0.575)
Nb (0.312, 0.118, 0.925)
Nb (0.953, 0.831, 0.925)
Ta (0.334, 0.520, 0.069)
Ta (0.480, 0.666, 0.431)
Ta (0.520, 0.334, 0.569)
Ta (0.666, 0.480, 0.931)

---

20.
Density functional theory data (PBE) for a relaxed structure of Nb2Bi3W4N3.

Cell lengths 5.979, 5.979, 13.481 Å; angles 102.92, 102.92, 59.82 degrees
Fractional coordinates of all 24 atoms:
Bi (0.416, 0.240, 0.250)
Bi (0.071, 0.929, 0.250)
Bi (0.760, 0.584, 0.250)
Bi (0.240, 0.416, 0.750)
Bi (0.929, 0.071, 0.750)
Bi (0.584, 0.760, 0.750)
N (0.000, 0.500, 0.000)
N (0.675, 0.152, 0.001)
N (0.848, 0.325, 0.499)
N (0.500, 0.000, 0.500)
N (0.152, 0.675, 0.501)
N (0.325, 0.848, 0.999)
Nb (0.365, 0.526, 0.077)
Nb (0.474, 0.635, 0.423)
Nb (0.526, 0.365, 0.577)
Nb (0.635, 0.474, 0.923)
W (0.015, 0.197, 0.065)
W (0.687, 0.848, 0.066)
W (0.152, 0.313, 0.434)
W (0.803, 0.985, 0.435)
W (0.197, 0.015, 0.565)
W (0.848, 0.687, 0.566)
W (0.313, 0.152, 0.934)
W (0.985, 0.803, 0.935)

---

Table of E (hartree per atom), in record order: -0.281; -0.311; -0.340; -0.319; -0.281; -0.280; -0.283; -0.272; -0.273; -0.328; -0.328; -0.310; -0.321; -0.315; -0.287; -0.300; -0.324; -0.315; -0.320; -0.324